No. 1
# Pr2SeF4

A relaxed structure of Pr2SeF4 (PBE-GGA, the Alexandria database).

**V**: 16.369 Å³ per atom
**ρ**: 6.33 Mg/m³
**VASP energy**: -6.484 eV per atom
**Crystal system**: tetragonal
**Total moment**: 0.00 μB per atom
**Raw formation energy**: -3.55 eV per atom
**Energy above the lowest structure with this stoichiometry**: 32 meV/atom

Lattice parameters (Å, degrees): 7.6077 7.6077 3.9595 90.00 90.00 90.00
Last column: nearest neighbours and their distance in Å.
Sites, in units of the cell vectors:
Pr1 0.2207 0.2207 0.0000  6 F 2.49
Pr2 0.2793 0.7207 0.5000  6 F 2.49
Pr3 0.7207 0.2793 0.5000  6 F 2.49
Pr4 0.7793 0.7793 0.0000  6 F 2.49
Se1 0.0000 0.0000 0.5000  6 Pr 3.01-3.09, 8 F 3.26
Se2 0.5000 0.5000 0.0000  6 Pr 3.01-3.09, 8 F 3.26
F1 0.0877 0.6709 0.0000  3 Pr 2.49, 1 F 2.60
F2 0.1709 0.4123 0.5000  3 Pr 2.49, 1 F 2.60
F3 0.3291 0.9123 0.0000  3 Pr 2.49, 1 F 2.60
F4 0.4123 0.1709 0.5000  3 Pr 2.49, 1 F 2.60
F5 0.5877 0.8291 0.5000  3 Pr 2.49, 1 F 2.60
F6 0.6709 0.0877 0.0000  3 Pr 2.49, 1 F 2.60
F7 0.8291 0.5877 0.5000  3 Pr 2.49, 1 F 2.60
F8 0.9123 0.3291 0.0000  3 Pr 2.49, 1 F 2.60

***

No. 2
# Pr3Se3F

A relaxed structure of Pr3Se3F (PBE-GGA, the Alexandria database).

**V**: 25.281 Å³ per atom
**ρ**: 6.37 Mg/m³
**VASP energy**: -5.789 eV per atom
**Crystal system**: trigonal
**Total moment**: 0.00 μB per atom
**Raw formation energy**: -1.98 eV per atom

Lattice parameters (Å, degrees): 6.1422 6.1422 6.1422 109.68 109.68 109.68
Last column: nearest neighbours and their distance in Å.
Sites, in units of the cell vectors:
Pr1 0.1921 0.1921 0.6158  1 F 2.46
Pr2 0.1921 0.6158 0.1921  1 F 2.46
Pr3 0.6158 0.1921 0.1921  1 F 2.46
Se1 0.0985 0.6915 0.6915  6 Pr 3.00-3.22
Se2 0.6915 0.0985 0.6915  6 Pr 3.00-3.22
Se3 0.6915 0.6915 0.0985  6 Pr 3.00-3.22
F1 0.3248 0.3248 0.3248  3 Pr 2.46

***

No. 3
# Pr2Se2F

A relaxed structure of Pr2Se2F (PBE-GGA, the Alexandria database).

**V**: 33.436 Å³ per atom
**ρ**: 4.56 Mg/m³
**VASP energy**: -4.435 eV per atom
**Crystal system**: tetragonal
**Total moment**: 0.00 μB per atom
**Raw formation energy**: -0.75 eV per atom
**Energy above the lowest structure with this stoichiometry**: 1603 meV/atom

Lattice parameters (Å, degrees): 3.3505 3.3505 14.8927 90.00 90.00 90.00
Last column: nearest neighbours and their distance in Å.
Sites, in units of the cell vectors:
Pr1 0.0000 0.0000 0.1575  1 F 2.35
Pr2 0.0000 0.0000 0.8425  1 F 2.35
Se1 0.0000 0.0000 0.3485  1 Pr 2.84
Se2 0.0000 0.0000 0.6515  1 Pr 2.84
F1 0.0000 0.0000 0.0000  2 Pr 2.35

***

No. 4
# Pr4Se5F2

A relaxed structure of Pr4Se5F2 (PBE-GGA, the Alexandria database).

**V**: 27.363 Å³ per atom
**ρ**: 5.50 Mg/m³
**VASP energy**: -5.925 eV per atom
**Crystal system**: monoclinic
**Total moment**: 0.00 μB per atom
**Raw formation energy**: -2.26 eV per atom

Lattice parameters (Å, degrees): 9.0837 9.0837 8.1450 101.87 101.87 27.27
Last column: nearest neighbours and their distance in Å.
Sites, in units of the cell vectors:
Pr1 0.0166 0.0166 0.2567  2 F 2.44
Pr2 0.2886 0.2886 0.7802  1 F 2.65, 2 Se 2.96
Pr3 0.7114 0.7114 0.2198  1 F 2.65, 2 Se 2.96
Pr4 0.9834 0.9834 0.7433  2 F 2.44
Se1 0.1495 0.1495 0.9554  4 Pr 3.07-3.09, 2 F 3.34
Se2 0.1732 0.1732 0.4401  4 Pr 2.85-3.07
Se3 0.5000 0.5000 0.5000  4 Pr 2.97, 2 F 3.13
Se4 0.8268 0.8268 0.5599  4 Pr 2.85-3.07
Se5 0.8505 0.8505 0.0446  4 Pr 3.07-3.09, 2 F 3.34
F1 0.4421 0.4421 0.8380  3 Pr 2.44-2.65
F2 0.5579 0.5579 0.1620  3 Pr 2.44-2.65